Below is a geometry-optimized Mn2InFe structure, with properties calculated at the PBE-GGA level.

Computed properties:
**Calculated total energy**: -28.50 eV for the cell shown
**Space group**: P4mm
**Magnetization**: 2.4 μB per cell

Lattice parameters (Å, degrees): 2.732 2.732 7.387 90.00 90.00 90.00
Fractional positions:
1 Mn 0.000 0.000 0.000
2 Mn 0.500 0.500 0.221
3 In 0.500 0.500 0.713
4 Fe 0.000 0.000 0.432